Record 1
Computed, not measured: a geometry-optimized NbCo3Rh structure at the PBE level of DFT.

Summary:
DFT formation energy = 6.87 eV per formula unit
DOS(E_F) = 9.38 states/eV per cell
Calculated total energy = -31.9 eV/cell
ΔE to the lowest computed polymorph = 0.0 meV/atom

Unit cell a=4.430 b=4.430 c=4.430 alpha=90.00 beta=90.00 gamma=90.00
Space group Pm-3m (No. 221)
One atom of each set of equivalent atoms:
Nb  0.000  0.000  0.000
Co  0.000  0.500  0.500
Rh  0.500  0.500  0.500

***

Record 2
Computed, not measured: a geometry-optimized NbCoRh2 structure at the PBE level of DFT.

Summary:
DFT formation energy = 0.66 eV per formula unit
DOS(E_F) = 21.04 states/eV per cell
Calculated total energy = -124.9 eV/cell

Unit cell a=3.741 b=3.741 c=17.549 alpha=90.00 beta=90.00 gamma=90.00
Space group I-42d (No. 122)
One atom of each set of equivalent atoms:
Nb  0.000  0.000  0.000
Co  0.000  0.000  0.500
Rh  0.225  0.250  0.625

***

Record 3
Computed, not measured: a geometry-optimized Nb2CoRh structure at the PBE level of DFT.

Summary:
DFT formation energy = -0.95 eV per formula unit
DOS(E_F) = 3.74 states/eV per cell
Calculated total energy = -35.5 eV/cell
ΔE to the lowest computed polymorph = 0.0 meV/atom

Unit cell a=2.843 b=2.843 c=7.484 alpha=90.00 beta=90.00 gamma=90.00
Space group P4/mmm (No. 123)
One atom of each set of equivalent atoms:
Nb  0.000  0.000  0.236
Co  0.500  0.500  0.000
Rh  0.500  0.500  0.500

***

Record 4
Computed, not measured: a geometry-optimized Nb4CoRh5 structure at the PBE level of DFT.

Summary:
DFT formation energy = -3.74 eV per formula unit
DOS(E_F) = 8.85 states/eV per cell
Calculated total energy = -87.9 eV/cell

Unit cell a=4.782 b=5.531 c=6.306 alpha=76.63 beta=74.71 gamma=75.27
Space group P-1 (No. 2)
One atom of each set of equivalent atoms:
Nb  0.130  0.387  0.310
Nb  0.312  0.197  0.876
Co  0.500  0.500  0.500
Rh  0.106  0.897  0.297
Rh  0.287  0.692  0.897
Rh  0.500  0.000  0.500

***

Record 5
Computed, not measured: a geometry-optimized Nb2CoRh structure at the PBE level of DFT.

Summary:
DFT formation energy = -0.31 eV per formula unit
DOS(E_F) = 27.42 states/eV per cell
Calculated total energy = -139.6 eV/cell
ΔE to the lowest computed polymorph = 159.5 meV/atom

Unit cell a=6.299 b=6.299 c=6.299 alpha=90.00 beta=90.00 gamma=90.00
Space group Fm-3m (No. 225)
One atom of each set of equivalent atoms:
Nb  0.250  0.250  0.250
Co  0.000  0.000  0.000
Rh  0.000  0.000  0.500

***

Record 6
Computed, not measured: a geometry-optimized Nb2Co3Rh structure at the PBE level of DFT.

Summary:
DFT formation energy = 0.74 eV per formula unit
DOS(E_F) = 61.61 states/eV per cell
Calculated total energy = -384.5 eV/cell
ΔE to the lowest computed polymorph = 199.7 meV/atom

Unit cell a=8.299 b=8.299 c=10.139 alpha=90.00 beta=90.00 gamma=90.00
Space group I4_1/amd (No. 141, origin choice 2)
One atom of each set of equivalent atoms:
Nb  0.000  0.070  0.263
Co  0.000  0.000  0.500
Co  0.229  0.021  0.875
Rh  0.000  0.250  0.027

***

Record 7
Computed, not measured: a geometry-optimized Nb3CoRh structure at the PBE level of DFT.

Summary:
DFT formation energy = 3.41 eV per formula unit
DOS(E_F) = 7.11 states/eV per cell
Calculated total energy = -41.3 eV/cell
ΔE to the lowest computed polymorph = 0.0 meV/atom

Unit cell a=4.535 b=4.535 c=4.535 alpha=90.00 beta=90.00 gamma=90.00
Space group Pm-3m (No. 221)
One atom of each set of equivalent atoms:
Nb  0.000  0.000  0.500
Co  0.000  0.000  0.000
Rh  0.500  0.500  0.500

***

Record 8
Computed, not measured: a geometry-optimized NbCoRh4 structure at the PBE level of DFT.

Summary:
DFT formation energy = -0.87 eV per formula unit
DOS(E_F) = 16.28 states/eV per cell
Calculated total energy = -94.9 eV/cell

Unit cell a=6.899 b=4.789 c=5.254 alpha=90.00 beta=96.12 gamma=90.00
Space group P2/c (No. 13)
One atom of each set of equivalent atoms:
Nb  0.000  0.099  0.250
Co  0.500  0.416  0.250
Rh  0.175  0.416  0.917
Rh  0.337  0.092  0.586

***

- Which value of DOS(E_F) does entry 8 give?
  16.28 states/eV per cell

***

- Which formula does entry 4 have?
  Nb4CoRh5

***

- Look up the DOS(E_F) of the fourth one.
  8.85 states/eV per cell

***

- Which value of DOS(E_F) does entry 2 give?
  21.04 states/eV per cell